No. 1
Y3PdN: optimized geometry, PBE.

calculated volume	21.5	A^3/atom
space-group type	Pm-3m (221)
calculated density	5.99	g/cm3
formation energy without anion corrections	-894.5	meV/atom
Fermi-level density of states	9.0	states/eV/f.u.

Unit cell a=4.7512 b=4.7512 c=4.7512 alpha=90.00 beta=90.00 gamma=90.00
Last column: nearest neighbours and their distance in Å.
Atoms (fractional coordinates):
Y: 0.0000 0.0000 0.5000  2 N 2.38
Y: 0.0000 0.5000 0.0000  2 N 2.38
Y: 0.5000 0.0000 0.0000  2 N 2.38
Pd: 0.5000 0.5000 0.5000  12 Y 3.36
N: 0.0000 0.0000 0.0000  6 Y 2.38

=====

No. 2
Tc2AgRhSe: optimized geometry, PBE.

calculated volume	19.4	A^3/atom
space-group type	P4/mmm (123)
calculated density	8.32	g/cm3
formation energy without anion corrections	1289.3	meV/atom
Fermi-level density of states	5.8	states/eV/f.u.

Unit cell a=4.5240 b=4.5240 c=4.7380 alpha=90.00 beta=90.00 gamma=90.00
Last column: nearest neighbours and their distance in Å.
Atoms (fractional coordinates):
Tc: 0.0000 0.5000 0.0000  2 Se 2.26
Tc: 0.5000 0.0000 0.0000  2 Se 2.26
Ag: 0.0000 0.0000 0.5000  2 Se 2.37
Rh: 0.5000 0.5000 0.5000  4 Ag 3.20, 8 Tc 3.28
Se: 0.0000 0.0000 0.0000  4 Tc 2.26, 2 Ag 2.37

=====

No. 3
La2DySn9: optimized geometry, PBE.

calculated volume	27.2	A^3/atom
space-group type	P4/mmm (123)
calculated density	7.67	g/cm3
energy of formation from the pure elements	-0.53	eV per atom
Fermi-level density of states	7.7	states/eV/f.u.

Unit cell a=4.8069 b=4.8069 c=14.1375 alpha=90.00 beta=90.00 gamma=90.00
Last column: nearest neighbours and their distance in Å.
Atoms (fractional coordinates):
La: 0.0000 0.0000 0.1693  12 Sn 3.39-3.40
La: 0.0000 0.0000 0.8307  12 Sn 3.39-3.40
Dy: 0.0000 0.0000 0.5000  12 Sn 3.31-3.40
Sn: 0.0000 0.5000 0.0000  4 La 3.39, 8 Sn 3.39-3.40
Sn: 0.0000 0.5000 0.3391  8 Sn 3.31-3.40, 2 Dy 3.31, 2 La 3.40
Sn: 0.0000 0.5000 0.6609  8 Sn 3.31-3.40, 2 Dy 3.31, 2 La 3.40
Sn: 0.5000 0.0000 0.0000  4 La 3.39, 8 Sn 3.39-3.40
Sn: 0.5000 0.0000 0.3391  8 Sn 3.31-3.40, 2 Dy 3.31, 2 La 3.40
Sn: 0.5000 0.0000 0.6609  8 Sn 3.31-3.40, 2 Dy 3.31, 2 La 3.40
Sn: 0.5000 0.5000 0.1693  8 Sn 3.39-3.40, 4 La 3.40
Sn: 0.5000 0.5000 0.5000  8 Sn 3.31, 4 Dy 3.40
Sn: 0.5000 0.5000 0.8307  8 Sn 3.39-3.40, 4 La 3.40

=====

No. 4
V2InSe: optimized geometry, PBE.

calculated volume	18.2	A^3/atom
space-group type	I-42d (122)
calculated density	6.75	g/cm3
energy above the most stable polymorph in this dataset	0.00	eV per formula unit
formation energy without anion corrections	331.6	meV/atom
Fermi-level density of states	4.4	states/eV/f.u.

Unit cell a=5.7924 b=5.7924 c=5.7924 alpha=104.34 beta=104.34 gamma=120.30
Last column: nearest neighbours and their distance in Å.
Atoms (fractional coordinates):
V: 0.0717 0.1250 0.4467  2 Se 2.37
V: 0.3750 0.9283 0.0533  2 Se 2.37
V: 0.6783 0.6250 0.5533  2 Se 2.37
V: 0.8750 0.3217 0.9467  2 Se 2.37
In: 0.2500 0.7500 0.5000  2 Se 2.88, 8 V 2.88-3.13
In: 0.5000 0.5000 0.0000  2 Se 2.88, 8 V 2.88-3.13
Se: 0.0000 0.0000 0.0000  4 V 2.37
Se: 0.7500 0.2500 0.5000  4 V 2.37

=====

No. 5
Mn3Pt2: optimized geometry, PBE.

calculated volume	14.4	A^3/atom
space-group type	R-3m (166)
calculated density	12.80	g/cm3
energy above the most stable polymorph in this dataset	0.50	eV per formula unit
energy of formation from the pure elements	-0.02	eV per atom
Fermi-level density of states	6.9	states/eV/f.u.

Unit cell a=10.8398 b=10.8398 c=10.8398 alpha=14.76 beta=14.76 gamma=14.76
Last column: nearest neighbours and their distance in Å.
Atoms (fractional coordinates):
Mn: 0.0000 0.0000 0.0000  6 Pt 2.72, 6 Mn 2.78
Mn: 0.1976 0.1976 0.1976  9 Mn 2.56-2.78, 3 Pt 2.70
Mn: 0.8024 0.8024 0.8024  9 Mn 2.56-2.78, 3 Pt 2.70
Pt: 0.4016 0.4016 0.4016  6 Mn 2.70-2.72, 6 Pt 2.78
Pt: 0.5984 0.5984 0.5984  6 Mn 2.70-2.72, 6 Pt 2.78

=====

No. 6
CaGd2ZrGa4O12: optimized geometry, PBE.

calculated volume	12.7	A^3/atom
space-group type	P-1 (2)
calculated density	6.00	g/cm3
formation energy without anion corrections	-2656.8	meV/atom
Fermi-level density of states	0.0	states/eV/f.u.

Unit cell a=10.9065 b=10.9683 c=10.9800 alpha=109.47 beta=109.38 gamma=109.27
Last column: nearest neighbours and their distance in Å.
Atoms (fractional coordinates):
Ca: 0.1220 0.2378 0.3722  7 O 2.40-2.68
Ca: 0.3735 0.1201 0.2430  8 O 2.40-2.65
Ca: 0.6265 0.8799 0.7570  8 O 2.40-2.65
Ca: 0.8780 0.7622 0.6278  7 O 2.40-2.68
Gd: 0.1287 0.3715 0.7500  8 O 2.40-2.57
Gd: 0.2500 0.3761 0.1229  8 O 2.40-2.52
Gd: 0.2502 0.8779 0.6307  8 O 2.35-2.55
Gd: 0.3737 0.7481 0.1187  8 O 2.37-2.52
Gd: 0.6263 0.2519 0.8813  8 O 2.37-2.52
Gd: 0.7498 0.1221 0.3693  8 O 2.35-2.55
Gd: 0.7500 0.6239 0.8771  8 O 2.40-2.52
Gd: 0.8713 0.6285 0.2500  8 O 2.40-2.57
Zr: 0.0000 0.0000 0.0000  6 O 2.10-2.11
Zr: 0.0000 0.5000 0.5000  6 O 2.11
Zr: 0.5000 0.0000 0.5000  6 O 2.10-2.13
Zr: 0.5000 0.5000 0.5000  6 O 2.10-2.13
Ga: 0.0000 0.0000 0.5000  6 O 2.02-2.07
Ga: 0.0000 0.5000 0.0000  6 O 2.02-2.05
Ga: 0.1237 0.8726 0.2490  4 O 1.85-1.89
Ga: 0.1253 0.7489 0.8741  4 O 1.87-1.88
Ga: 0.2450 0.6254 0.3662  4 O 1.86-1.87
Ga: 0.2538 0.1304 0.8706  4 O 1.87-1.88
Ga: 0.3687 0.2533 0.6299  4 O 1.86-1.90
Ga: 0.3839 0.6372 0.7631  4 O 1.86-1.88
Ga: 0.5000 0.0000 0.0000  6 O 2.01-2.06
Ga: 0.5000 0.5000 0.0000  6 O 2.02-2.03
Ga: 0.6161 0.3628 0.2369  4 O 1.86-1.88
Ga: 0.6313 0.7467 0.3701  4 O 1.86-1.90
Ga: 0.7462 0.8696 0.1294  4 O 1.87-1.88
Ga: 0.7550 0.3746 0.6338  4 O 1.86-1.87
Ga: 0.8747 0.2511 0.1259  4 O 1.87-1.88
Ga: 0.8763 0.1274 0.7510  4 O 1.85-1.89
O: 0.0277 0.2117 0.1222  1 Ga 1.87
O: 0.0278 0.3231 0.9031  2 Ga 1.89-2.05
O: 0.0843 0.8779 0.4039  2 Ga 1.88-2.07
O: 0.0848 0.7112 0.6809  1 Ga 1.88
O: 0.0946 0.6250 0.4124  1 Ga 1.87
O: 0.1024 0.9809 0.6774  2 Ga 1.87-2.02
O: 0.1207 0.5947 0.9157  2 Ga 1.88-2.05
O: 0.1237 0.0226 0.2064  1 Ga 1.85
O: 0.1734 0.2049 0.5863  2 Ga 1.86-2.03
O: 0.1892 0.4852 0.6097  1 Ga 1.88, 1 Zr 2.11
O: 0.2029 0.5818 0.1729  2 Ga 1.87-2.02
O: 0.2060 0.1261 0.0183  1 Ga 1.87
O: 0.2921 0.4787 0.3723  1 Ga 1.86
O: 0.2980 0.3263 0.9183  2 Ga 1.88-2.02
O: 0.3171 0.9094 0.2884  1 Ga 1.88
O: 0.3208 0.8982 0.0205  2 Ga 1.87-2.03
O: 0.3777 0.2947 0.4813  1 Ga 1.86
O: 0.3802 0.5845 0.9083  2 Ga 1.88-2.03
O: 0.3947 0.8163 0.5219  1 Ga 1.86
O: 0.4062 0.0847 0.8781  2 Ga 1.87-2.06
O: 0.4146 0.1003 0.6268  1 Ga 1.90
O: 0.4169 0.8266 0.7988  2 Ga 1.86-2.01
O: 0.4701 0.3742 0.2865  1 Ga 1.87
O: 0.4750 0.5958 0.1768  2 Ga 1.88-2.03
O: 0.5250 0.4042 0.8232  2 Ga 1.88-2.03
O: 0.5299 0.6258 0.7135  1 Ga 1.87
O: 0.5831 0.1734 0.2012  2 Ga 1.86-2.01
O: 0.5854 0.8997 0.3732  1 Ga 1.90
O: 0.5938 0.9153 0.1219  2 Ga 1.87-2.06
O: 0.6053 0.1837 0.4781  1 Ga 1.86
O: 0.6198 0.4155 0.0917  2 Ga 1.88-2.03
O: 0.6223 0.7053 0.5187  1 Ga 1.86
O: 0.6792 0.1018 0.9795  2 Ga 1.87-2.03
O: 0.6829 0.0906 0.7116  1 Ga 1.88
O: 0.7020 0.6737 0.0817  2 Ga 1.88-2.02
O: 0.7079 0.5213 0.6277  1 Ga 1.86
O: 0.7940 0.8739 0.9817  1 Ga 1.87
O: 0.7971 0.4182 0.8271  2 Ga 1.87-2.02
O: 0.8108 0.5148 0.3903  1 Ga 1.88, 1 Zr 2.11
O: 0.8266 0.7951 0.4137  2 Ga 1.86-2.03
O: 0.8763 0.9774 0.7936  1 Ga 1.85
O: 0.8793 0.4053 0.0843  2 Ga 1.88-2.05
O: 0.8976 0.0191 0.3226  2 Ga 1.87-2.02
O: 0.9054 0.3750 0.5876  1 Ga 1.87
O: 0.9152 0.2888 0.3191  1 Ga 1.88
O: 0.9157 0.1221 0.5961  2 Ga 1.88-2.07
O: 0.9722 0.6769 0.0969  2 Ga 1.89-2.05
O: 0.9723 0.7883 0.8778  1 Ga 1.87